No. 1
An optimized crystal structure of BaCu6Te6S. Source: Alexandria, functional PBE.

a b c (Å): 6.964 6.929 7.049
angles (deg): 89.17 90.00 90.00
Atoms (fractional coordinates):
1 Te 0.495 0.707 0.999
2 Te 0.495 0.293 0.001
3 Te 0.703 0.000 0.500
4 Te 0.001 0.510 0.297
5 Te 0.001 0.490 0.703
6 Te 0.294 0.000 0.500
7 Cu 0.811 0.183 0.814
8 Cu 0.805 0.210 0.195
9 Cu 0.805 0.790 0.805
10 Cu 0.191 0.810 0.802
11 Cu 0.191 0.190 0.198
12 Cu 0.811 0.817 0.186
13 Ba 0.498 0.500 0.500
14 S 0.009 0.000 0.000

Results
Density of states at the Fermi level   0.142 states/eV/atom
M_tot   0.00 μB/f.u.
Symmetry   P2, No. 3
E_tot   -3.85 eV/atom



No. 2
An optimized crystal structure of Pr3Dy6Mg. Source: Alexandria, functional PBE.

a b c (Å): 6.617 8.693 6.899
angles (deg): 105.29 118.66 90.00
Atoms (fractional coordinates):
1 Pr 0.107 0.680 0.214
2 Pr 0.000 0.000 0.000
3 Pr 0.893 0.320 0.786
4 Dy 0.902 0.315 0.306
5 Dy 0.651 0.913 0.302
6 Dy 0.596 0.685 0.694
7 Dy 0.098 0.685 0.694
8 Dy 0.404 0.315 0.306
9 Dy 0.349 0.087 0.698
10 Mg 0.500 0.500 0.000

Results
Density of states at the Fermi level   1.574 states/eV/atom
M_tot   0.00 μB/f.u.
Symmetry   C2/m, No. 12
E above lowest polymorph   0.29 eV/f.u.
Energy relative to the elements   0.22 eV per atom



No. 3
An optimized crystal structure of Nd7HoEr12. Source: Alexandria, functional PBE.

a b c (Å): 8.758 8.758 8.758
angles (deg): 85.87 85.87 85.87
Atoms (fractional coordinates):
1 Nd 0.500 0.500 0.500
2 Nd 0.844 0.601 0.920
3 Nd 0.601 0.920 0.844
4 Nd 0.920 0.844 0.601
5 Nd 0.399 0.080 0.156
6 Nd 0.156 0.399 0.080
7 Nd 0.080 0.156 0.399
8 Er 0.503 0.384 0.865
9 Er 0.747 0.272 0.145
10 Er 0.272 0.145 0.747
11 Er 0.135 0.497 0.616
12 Er 0.855 0.253 0.728
13 Er 0.145 0.747 0.272
14 Er 0.497 0.616 0.135
15 Er 0.384 0.865 0.503
16 Er 0.865 0.503 0.384
17 Er 0.728 0.855 0.253
18 Er 0.253 0.728 0.855
19 Er 0.616 0.135 0.497
20 Ho 0.000 0.000 0.000

Results
Density of states at the Fermi level   1.793 states/eV/atom
M_tot   0.00 μB/f.u.
Symmetry   R-3, No. 148
E above lowest polymorph   0.00 eV/f.u.
Energy relative to the elements   0.23 eV per atom



No. 4
An optimized crystal structure of Nb2IrPd4. Source: Alexandria, functional PBE.

a b c (Å): 7.377 7.377 7.377
angles (deg): 78.27 126.99 126.99
Atoms (fractional coordinates):
1 Pd 0.500 0.992 0.185
2 Pd 0.500 0.685 0.492
3 Pd 0.500 0.315 0.508
4 Pd 0.192 0.508 0.008
5 Pd 0.192 0.185 0.685
6 Pd 0.808 0.815 0.315
7 Pd 0.500 0.008 0.815
8 Pd 0.808 0.492 0.992
9 Ir 0.000 0.250 0.250
10 Ir 0.000 0.750 0.750
11 Nb 0.500 0.652 0.848
12 Nb 0.197 0.848 0.348
13 Nb 0.500 0.348 0.152
14 Nb 0.803 0.152 0.652

Results
Density of states at the Fermi level   1.044 states/eV/atom
M_tot   0.00 μB/f.u.
Symmetry   I4/mcm, No. 140
Energy relative to the elements   0.27 eV per atom



No. 5
An optimized crystal structure of LiNdDyS3. Source: Alexandria, functional PBE.

a b c (Å): 3.865 8.138 8.453
angles (deg): 102.59 90.00 90.00
Atoms (fractional coordinates):
1 S 0.750 0.430 0.171
2 S 0.250 0.099 0.867
3 S 0.250 0.786 0.501
4 S 0.750 0.901 0.133
5 S 0.250 0.570 0.829
6 S 0.750 0.214 0.499
7 Nd 0.250 0.188 0.222
8 Nd 0.750 0.812 0.778
9 Li 0.750 0.913 0.415
10 Li 0.250 0.087 0.585
11 Dy 0.250 0.663 0.166
12 Dy 0.750 0.337 0.834

Results
Density of states at the Fermi level   0.302 states/eV/atom
M_tot   0.00 μB/f.u.
Symmetry   P2_1/m, No. 11
E_tot   -5.77 eV/atom



No. 6
An optimized crystal structure of YScSi. Source: Alexandria, functional PBE.

a b c (Å): 5.887 5.887 5.887
angles (deg): 147.29 142.11 50.90
Last column: magnetic moment on the atom in μB.
Atoms (fractional coordinates):
1 Si 0.349 0.349 0.000  0.00
2 Sc 0.971 0.971 0.000  0.30
3 Y 0.680 0.680 0.000  0.26

Results
Density of states at the Fermi level   1.085 states/eV/atom
M_tot   1.03 μB/f.u.
Symmetry   Imm2, No. 44
E above lowest polymorph   0.88 eV/f.u.



- Which of these has the highest M_tot?
  YScSi



- Number 6 is which compound?
  YScSi